No. 1
The following is a PBE calculation of a relaxed structure of MgPdSF2, from Alexandria via LeMat-Bulk.

Properties
electronic total energy	-4.625	eV/atom
calculated volume	19.37	Å³/atom
mass density	3.4	g/cm³
total magnetization	0.73	μB per formula unit
space group	No. 123

CIF file:
```
data_MgPdSF2
_chemical_formula_sum 'Mg1 Pd1 S1 F2'
_cell_length_a 3.634
_cell_length_b 3.634
_cell_length_c 7.332
_cell_angle_alpha 90.00
_cell_angle_beta 90.00
_cell_angle_gamma 90.00
_symmetry_space_group_name_H-M 'P 1'
_symmetry_Int_Tables_number 1
loop_
_symmetry_equiv_pos_as_xyz
'x,y,z'
loop_
_atom_site_label
_atom_site_fract_x
_atom_site_fract_y
_atom_site_fract_z
_atom_site_occupancy
Mg1 0.000 0.000 0.000 1
Pd1 0.000 0.000 0.500 1
S1 0.500 0.500 0.500 1
F1 0.000 0.500 0.000 1
F2 0.500 0.000 0.000 1
```

---

No. 2
The following is a PBE calculation of a relaxed structure of MnNiCl2, from Alexandria via LeMat-Bulk.

Properties
electronic total energy	-4.673	eV/atom
calculated volume	19.05	Å³/atom
mass density	4.0	g/cm³
total magnetization	5.00	μB per formula unit
space group	No. 12

CIF file:
```
data_MnNiCl2
_chemical_formula_sum 'Mn1 Ni1 Cl2'
_cell_length_a 4.773
_cell_length_b 4.773
_cell_length_c 4.640
_cell_angle_alpha 117.71
_cell_angle_beta 117.71
_cell_angle_gamma 95.20
_symmetry_space_group_name_H-M 'P 1'
_symmetry_Int_Tables_number 1
loop_
_symmetry_equiv_pos_as_xyz
'x,y,z'
loop_
_atom_site_label
_atom_site_fract_x
_atom_site_fract_y
_atom_site_fract_z
_atom_site_occupancy
Mn1 0.000 0.000 0.000 1
Ni1 0.500 0.500 0.000 1
Cl1 0.000 0.500 0.500 1
Cl2 0.500 0.000 0.500 1
```